(1)
First-principles (PBE with a Hubbard U) data for Li2Ac3VO8 after structural relaxation, as listed in the Alexandria database.

abc: 5.5663 5.5663 7.1227
angles: 90.00 90.00 120.00
Fractional coordinates of all 14 atoms:
Li1 0.3333 0.6667 0.2077
Li2 0.6667 0.3333 0.7923
Ac1 0.3333 0.6667 0.6475
Ac2 0.6667 0.3333 0.3525
Ac3 0.0000 0.0000 0.0000
V1 0.0000 0.0000 0.5000
O1 0.3333 0.6667 0.9564
O2 0.6667 0.3333 0.0436
O3 0.1574 0.8426 0.3389
O4 0.8426 0.1574 0.6611
O5 0.1574 0.3148 0.3389
O6 0.8426 0.6852 0.6611
O7 0.6852 0.8426 0.3389
O8 0.3148 0.1574 0.6611

**Uncorrected energy**: -100.1 eV per cell

=====

(2)
First-principles (PBE with a Hubbard U) data for LiAc2WO6 after structural relaxation, as listed in the Alexandria database.

abc: 5.8216 5.8068 8.1848
angles: 90.00 89.76 90.00
Site moments in Bohr magnetons follow the coordinates.
Fractional coordinates of all 20 atoms:
Li1 0.5000 0.0000 0.0000  0.00
Li2 0.0000 0.5000 0.5000  0.00
Ac1 0.0065 0.9539 0.2519  0.01
Ac2 0.5065 0.5461 0.7519  0.01
Ac3 0.9935 0.0461 0.7481  0.01
Ac4 0.4935 0.4539 0.2481  0.01
W1 0.5000 0.0000 0.5000  0.91
W2 0.0000 0.5000 0.0000  0.91
O1 0.2817 0.6957 0.0390  0.02
O2 0.7817 0.8043 0.5390  0.02
O3 0.7183 0.3043 0.9610  0.02
O4 0.2183 0.1957 0.4610  0.02
O5 0.3035 0.7245 0.4531  0.01
O6 0.8035 0.7755 0.9531  0.01
O7 0.6965 0.2755 0.5469  0.01
O8 0.1965 0.2245 0.0469  0.01
O9 0.9191 0.5141 0.2406  0.01
O10 0.4191 0.9859 0.7406  0.01
O11 0.0809 0.4859 0.7594  0.01
O12 0.5809 0.0141 0.2594  0.01

**Uncorrected energy**: -150.4 eV per cell

=====

(3)
First-principles (PBE with a Hubbard U) data for Li2Ac3WO9 after structural relaxation, as listed in the Alexandria database.

abc: 5.6238 5.6238 7.0822
angles: 90.00 90.00 120.00
Site moments in Bohr magnetons follow the coordinates.
Fractional coordinates of all 15 atoms:
Li1 0.3333 0.6667 0.1833  0.00
Li2 0.6667 0.3333 0.8167  0.00
Ac1 0.3333 0.6667 0.7166  -0.01
Ac2 0.0000 0.0000 0.0000  -0.01
Ac3 0.6667 0.3333 0.2834  -0.01
W1 0.0000 0.0000 0.5000  0.00
O1 0.8396 0.1604 0.6625  0.01
O2 0.8396 0.6792 0.6625  0.01
O3 0.3208 0.1604 0.6625  0.01
O4 0.6792 0.8396 0.3375  0.01
O5 0.1604 0.3208 0.3375  0.01
O6 0.1604 0.8396 0.3375  0.01
O7 0.5000 0.0000 0.0000  0.28
O8 0.0000 0.5000 0.0000  0.28
O9 0.5000 0.5000 0.0000  0.28

**Uncorrected energy**: -107.6 eV per cell

=====

(4)
First-principles (PBE with a Hubbard U) data for Li2Ac2WO6 after structural relaxation, as listed in the Alexandria database.

abc: 5.6138 5.6138 5.8010
angles: 90.00 90.00 120.00
Site moments in Bohr magnetons follow the coordinates.
Fractional coordinates of all 11 atoms:
Li1 0.3333 0.6667 0.8841  0.00
Li2 0.6667 0.3333 0.1159  0.00
Ac1 0.6667 0.3333 0.6182  0.02
Ac2 0.3333 0.6667 0.3818  0.02
W1 0.0000 0.0000 0.0000  1.88
O1 0.0481 0.3251 0.7795  0.01
O2 0.6749 0.7230 0.7795  0.01
O3 0.2770 0.9519 0.7795  0.01
O4 0.9519 0.6749 0.2205  0.01
O5 0.3251 0.2770 0.2205  0.01
O6 0.7230 0.0481 0.2205  0.01

**Uncorrected energy**: -74.4 eV per cell

=====

(5)
First-principles (PBE with a Hubbard U) data for LiAcW2O8 after structural relaxation, as listed in the Alexandria database.

abc: 6.4625 6.4625 6.4625
angles: 107.00 107.00 114.53
Fractional coordinates of all 12 atoms:
Li1 0.2500 0.7500 0.5000
Ac1 0.0000 0.0000 0.0000
W1 0.7500 0.2500 0.5000
W2 0.5000 0.5000 0.0000
O1 0.4064 0.0944 0.3120
O2 0.3367 0.5217 0.1851
O3 0.3367 0.1516 0.8149
O4 0.7824 0.0944 0.6880
O5 0.8484 0.6633 0.1851
O6 0.9056 0.2176 0.3120
O7 0.9056 0.5936 0.6880
O8 0.4783 0.6633 0.8149

**Uncorrected energy**: -87.9 eV per cell

=====

(6)
First-principles (PBE with a Hubbard U) data for LiAcWO6 after structural relaxation, as listed in the Alexandria database.

abc: 5.2219 5.2219 10.0088
angles: 90.00 90.00 90.00
Site moments in Bohr magnetons follow the coordinates.
Fractional coordinates of all 18 atoms:
Li1 0.5000 0.5000 0.8196  0.00
Li2 0.0000 0.0000 0.3196  0.00
Ac1 0.5000 0.5000 0.1548  0.01
Ac2 0.0000 0.0000 0.6548  0.01
W1 0.5000 0.5000 0.5165  -0.12
W2 0.0000 0.0000 0.0165  -0.12
O1 0.2443 0.7557 0.4777  0.29
O2 0.7557 0.2443 0.4777  0.29
O3 0.2557 0.2557 0.9777  0.29
O4 0.7443 0.7443 0.9777  0.29
O5 0.1739 0.8261 0.1547  0.04
O6 0.8261 0.1739 0.1547  0.04
O7 0.3261 0.3261 0.6547  0.04
O8 0.6739 0.6739 0.6547  0.04
O9 0.8066 0.1934 0.8721  0.55
O10 0.1934 0.8066 0.8721  0.55
O11 0.6934 0.6934 0.3721  0.55
O12 0.3066 0.3066 0.3721  0.55

**Uncorrected energy**: -122.1 eV per cell

=====

(7)
First-principles (PBE with a Hubbard U) data for LiAcWO5 after structural relaxation, as listed in the Alexandria database.

abc: 6.4711 6.4711 8.7300
angles: 109.75 109.75 89.40
Fractional coordinates of all 16 atoms:
Li1 0.3000 0.7000 0.2500
Li2 0.7000 0.3000 0.7500
Ac1 0.0000 0.0000 0.5000
Ac2 0.0000 0.0000 0.0000
W1 0.6113 0.3887 0.2500
W2 0.3887 0.6113 0.7500
O1 0.0984 0.9016 0.2500
O2 0.9016 0.0984 0.7500
O3 0.7140 0.2616 0.0745
O4 0.2860 0.7384 0.9255
O5 0.7384 0.2860 0.4255
O6 0.2616 0.7140 0.5745
O7 0.6589 0.6892 0.3286
O8 0.3411 0.3108 0.6714
O9 0.3108 0.3411 0.1714
O10 0.6892 0.6589 0.8286

**Uncorrected energy**: -114.6 eV per cell

=====

(8)
First-principles (PBE with a Hubbard U) data for Li2AcWO6 after structural relaxation, as listed in the Alexandria database.

abc: 5.6312 5.4009 8.2821
angles: 90.00 92.09 90.00
Site moments in Bohr magnetons follow the coordinates.
Fractional coordinates of all 20 atoms:
Li1 0.9564 0.9800 0.2619  0.00
Li2 0.4564 0.5200 0.7619  0.00
Li3 0.0436 0.0200 0.7381  0.00
Li4 0.5436 0.4800 0.2381  0.00
Ac1 0.5000 0.0000 0.0000  0.01
Ac2 0.0000 0.5000 0.5000  0.01
W1 0.5000 0.0000 0.5000  -0.06
W2 0.0000 0.5000 0.0000  -0.06
O1 0.3122 0.6045 0.0711  0.09
O2 0.8122 0.8955 0.5711  0.09
O3 0.6878 0.3955 0.9289  0.09
O4 0.1878 0.1045 0.4289  0.09
O5 0.4208 0.6643 0.4176  0.33
O6 0.9208 0.8357 0.9176  0.33
O7 0.5792 0.3357 0.5824  0.33
O8 0.0792 0.1643 0.0824  0.33
O9 0.8779 0.6049 0.2100  0.05
O10 0.3779 0.8951 0.7100  0.05
O11 0.1221 0.3951 0.7900  0.05
O12 0.6221 0.1049 0.2900  0.05

**Uncorrected energy**: -134.4 eV per cell